1.
A relaxed Mo2SN crystal. Source: the Open Quantum Materials Database, functional PBE-GGA.

Values from the calculation:
* space-group type: P6_3/mmc (194)
* DFT total energy: -8.617 eV per atom

a b c (Å): 2.9993 2.9993 12.5701
angles (deg): 90.00 90.00 120.00
With the nearest neighbours (Å) after each atom.
Fractional positions:
S (0.6667, 0.3333, 0.2500)  6 Mo 2.48
Mo (0.3333, 0.6667, 0.1083)  3 N 2.20
N (0.0000, 0.0000, 0.0000)  6 Mo 2.20
N (0.0000, 0.0000, 0.5000)  6 Mo 2.20
Mo (0.3333, 0.6667, 0.3917)  3 N 2.20
S (0.3333, 0.6667, 0.7500)  6 Mo 2.48
Mo (0.6667, 0.3333, 0.6083)  3 N 2.20
Mo (0.6667, 0.3333, 0.8917)  3 N 2.20

=====

2.
A relaxed Mo3SN2 crystal. Source: the Open Quantum Materials Database, functional PBE-GGA.

Values from the calculation:
* space-group type: P6_3/mmc (194)
* DFT total energy: -8.940 eV per atom

a b c (Å): 3.2420 3.2420 15.7312
angles (deg): 90.00 90.00 120.00
With the nearest neighbours (Å) after each atom.
Fractional positions:
N (0.6667, 0.3333, 0.5714)  6 Mo 2.14-2.18
Mo (0.3333, 0.6667, 0.8623)  3 N 2.14
Mo (0.0000, 0.0000, 0.0000)  6 N 2.18
N (0.3333, 0.6667, 0.4286)  6 Mo 2.14-2.18
S (0.0000, 0.0000, 0.2500)  6 Mo 2.57
Mo (0.3333, 0.6667, 0.6377)  3 N 2.14
Mo (0.0000, 0.0000, 0.5000)  6 N 2.18
N (0.3333, 0.6667, 0.0714)  6 Mo 2.14-2.18
Mo (0.6667, 0.3333, 0.1377)  3 N 2.14
N (0.6667, 0.3333, 0.9286)  6 Mo 2.14-2.18
Mo (0.6667, 0.3333, 0.3623)  3 N 2.14
S (0.0000, 0.0000, 0.7500)  6 Mo 2.57

=====

3.
A relaxed Mo4SN3 crystal. Source: the Open Quantum Materials Database, functional PBE-GGA.

Values from the calculation:
* space-group type: P6_3/mmc (194)
* DFT total energy: -9.094 eV per atom

a b c (Å): 3.1557 3.1557 21.2170
angles (deg): 90.00 90.00 120.00
With the nearest neighbours (Å) after each atom.
Fractional positions:
Mo (0.0000, 0.0000, 0.1685)  3 N 2.19
Mo (0.3333, 0.6667, 0.0493)  6 N 2.10-2.24
S (0.3333, 0.6667, 0.2500)  6 Mo 2.51
Mo (0.0000, 0.0000, 0.8316)  3 N 2.19
N (0.6667, 0.3333, 0.1111)  6 Mo 2.19-2.24
Mo (0.0000, 0.0000, 0.3315)  3 N 2.19
N (0.0000, 0.0000, 0.5000)  6 Mo 2.10
N (0.0000, 0.0000, 0.0000)  6 Mo 2.10
Mo (0.6667, 0.3333, 0.5493)  6 N 2.10-2.24
Mo (0.3333, 0.6667, 0.4507)  6 N 2.10-2.24
N (0.6667, 0.3333, 0.3889)  6 Mo 2.19-2.24
S (0.6667, 0.3333, 0.7500)  6 Mo 2.51
Mo (0.0000, 0.0000, 0.6684)  3 N 2.19
N (0.3333, 0.6667, 0.8889)  6 Mo 2.19-2.24
N (0.3333, 0.6667, 0.6111)  6 Mo 2.19-2.24
Mo (0.6667, 0.3333, 0.9507)  6 N 2.10-2.24

=====

4.
A relaxed SbMo4SN2 crystal. Source: the Open Quantum Materials Database, functional PBE-GGA.

Values from the calculation:
* space-group type: P-6m2 (187)
* DFT total energy: -8.585 eV per atom

a b c (Å): 3.3161 3.3161 11.7812
angles (deg): 90.00 90.00 120.00
With the nearest neighbours (Å) after each atom.
Fractional positions:
N (0.0000, 0.0000, 0.2582)  6 Mo 2.08-2.22
Mo (0.6667, 0.3333, 0.3532)  3 N 2.22
Mo (0.6667, 0.3333, 0.6468)  3 N 2.22
S (0.3333, 0.6667, 0.5000)  6 Mo 2.58
Mo (0.3333, 0.6667, 0.8109)  3 N 2.08
Sb (0.6667, 0.3333, 0.0000)  6 Mo 2.94
Mo (0.3333, 0.6667, 0.1891)  3 N 2.08
N (0.0000, 0.0000, 0.7418)  6 Mo 2.08-2.22

=====

5.
A relaxed SbMo4SN2 crystal. Source: the Open Quantum Materials Database, functional PBE-GGA.

Values from the calculation:
* space-group type: P-6m2 (187)
* DFT total energy: -8.585 eV per atom

a b c (Å): 3.3168 3.3168 11.8093
angles (deg): 90.00 90.00 120.00
With the nearest neighbours (Å) after each atom.
Fractional positions:
Mo (0.0000, 0.0000, 0.3108)  3 N 2.08
N (0.3333, 0.6667, 0.2419)  6 Mo 2.08-2.22
Mo (0.0000, 0.0000, 0.6892)  3 N 2.08
Mo (0.6667, 0.3333, 0.1469)  3 N 2.22
S (0.0000, 0.0000, 0.0000)  6 Mo 2.58
N (0.3333, 0.6667, 0.7581)  6 Mo 2.08-2.22
Sb (0.6667, 0.3333, 0.5000)  6 Mo 2.94
Mo (0.6667, 0.3333, 0.8531)  3 N 2.22

=====

6.
A relaxed SiMo4SN2 crystal. Source: the Open Quantum Materials Database, functional PBE-GGA.

Values from the calculation:
* space-group type: P-6m2 (187)
* DFT total energy: -8.788 eV per atom

a b c (Å): 2.9866 2.9866 12.8306
angles (deg): 90.00 90.00 120.00
With the nearest neighbours (Å) after each atom.
Fractional positions:
N (0.6667, 0.3333, 0.7469)  6 Mo 2.18-2.19
S (0.0000, 0.0000, 0.5000)  6 Mo 2.50
Mo (0.0000, 0.0000, 0.1489)  3 N 2.18
Mo (0.3333, 0.6667, 0.3587)  3 N 2.19
Mo (0.3333, 0.6667, 0.6413)  3 N 2.19
Si (0.3333, 0.6667, 0.0000)  6 Mo 2.57
Mo (0.0000, 0.0000, 0.8511)  3 N 2.18
N (0.6667, 0.3333, 0.2531)  6 Mo 2.18-2.19

=====

7.
A relaxed Ta2Mo4S3N3 crystal. Source: the Open Quantum Materials Database, functional PBE-GGA.

Values from the calculation:
* space-group type: C2/c (15)
* DFT total energy: -9.117 eV per atom

a b c (Å): 5.7741 5.7741 11.5346
angles (deg): 101.71 101.71 58.94
With the nearest neighbours (Å) after each atom.
Fractional positions:
Ta (0.5002, 0.3321, 0.0862)  3 N 1.97-2.14
N (0.7857, 0.2930, 0.9805)  3 Mo 2.10-2.12, 2 Ta 2.12-2.14
Mo (0.0833, 0.2706, 0.8911)  2 N 2.11-2.34
S (0.4230, 0.2419, 0.7584)  4 Mo 2.48-2.74, 1 Ta 2.53
N (0.2930, 0.7857, 0.4805)  3 Mo 2.10-2.12, 2 Ta 2.12-2.14
Ta (0.4998, 0.6679, 0.9138)  3 N 1.97-2.14
S (0.8775, 0.1225, 0.2500)  4 Mo 2.44-2.45, 2 Ta 2.51
S (0.1225, 0.8775, 0.7500)  4 Mo 2.44-2.45, 2 Ta 2.51
N (0.2143, 0.7070, 0.0195)  3 Mo 2.10-2.12, 2 Ta 2.12-2.14
N (0.7070, 0.2143, 0.5195)  3 Mo 2.10-2.12, 2 Ta 2.12-2.14
Ta (0.3321, 0.5002, 0.5862)  3 N 1.97-2.14
N (0.5000, 0.0000, 0.0000)  2 Ta 1.97
Mo (0.1017, 0.1358, 0.6003)  2 N 2.10-2.12
Ta (0.6679, 0.4998, 0.4138)  3 N 1.97-2.14
Mo (0.9167, 0.7294, 0.1089)  2 N 2.11-2.34
Mo (0.2706, 0.0833, 0.3911)  2 N 2.11-2.34
Mo (0.8642, 0.8983, 0.8997)  2 N 2.10-2.12
N (0.0000, 0.5000, 0.5000)  2 Ta 1.97
Mo (0.1358, 0.1017, 0.1003)  2 N 2.10-2.12
Mo (0.7294, 0.9167, 0.6089)  2 N 2.11-2.34
S (0.2419, 0.4230, 0.2584)  4 Mo 2.48-2.74, 1 Ta 2.53
S (0.5770, 0.7581, 0.2416)  4 Mo 2.48-2.74, 1 Ta 2.53
S (0.7581, 0.5770, 0.7415)  4 Mo 2.48-2.74, 1 Ta 2.53
Mo (0.8983, 0.8642, 0.3997)  2 N 2.10-2.12

=====

8.
A relaxed TlMo4SN2 crystal. Source: the Open Quantum Materials Database, functional PBE-GGA.

Values from the calculation:
* space-group type: P-6m2 (187)
* DFT total energy: -8.345 eV per atom

a b c (Å): 3.3180 3.3180 12.0321
angles (deg): 90.00 90.00 120.00
With the nearest neighbours (Å) after each atom.
Fractional positions:
Tl (0.6667, 0.3333, 0.5000)  6 Mo 3.10, 6 Tl 3.32
N (0.3333, 0.6667, 0.2482)  3 Mo 2.01
S (0.0000, 0.0000, 0.0000)  6 Mo 2.50
Mo (0.6667, 0.3333, 0.8669)  3 N 2.36, 3 S 2.50
Mo (0.6667, 0.3333, 0.1331)  3 N 2.36, 3 S 2.50
Mo (0.0000, 0.0000, 0.7022)  3 N 2.01
N (0.3333, 0.6667, 0.7518)  3 Mo 2.01
Mo (0.0000, 0.0000, 0.2978)  3 N 2.01

=====

9.
A relaxed Mo4W2S3N3 crystal. Source: the Open Quantum Materials Database, functional PBE-GGA.

Values from the calculation:
* space-group type: C2/c (15)
* DFT total energy: -9.003 eV per atom

a b c (Å): 5.8577 5.8577 11.0161
angles (deg): 100.73 100.73 59.00
With the nearest neighbours (Å) after each atom.
Fractional positions:
N (0.2274, 0.6899, 0.9964)  3 Mo 2.07-2.22, 2 W 2.09-2.15
Mo (0.9326, 0.7139, 0.1059)  2 N 2.22-2.42
S (0.4143, 0.2533, 0.7706)  1 W 2.39, 3 Mo 2.53-2.56
S (0.1302, 0.8698, 0.7500)  4 Mo 2.42-2.54, 2 W 2.63
S (0.2533, 0.4143, 0.2706)  1 W 2.39, 3 Mo 2.53-2.56
N (0.7726, 0.3101, 0.0036)  3 Mo 2.07-2.22, 2 W 2.09-2.15
N (0.5000, 0.0000, 0.0000)  2 W 1.94
S (0.5857, 0.7467, 0.2294)  1 W 2.39, 3 Mo 2.53-2.56
Mo (0.7139, 0.9326, 0.6059)  2 N 2.22-2.42
W (0.5497, 0.6583, 0.9147)  3 N 1.94-2.15
Mo (0.0507, 0.1596, 0.5981)  3 N 2.07-2.30
Mo (0.2861, 0.0674, 0.3941)  2 N 2.22-2.42
S (0.8698, 0.1302, 0.2500)  4 Mo 2.42-2.54, 2 W 2.63
W (0.6583, 0.5497, 0.4147)  3 N 1.94-2.15
N (0.3101, 0.7726, 0.5036)  3 Mo 2.07-2.22, 2 W 2.09-2.15
Mo (0.0674, 0.2861, 0.8941)  2 N 2.22-2.42
N (0.0000, 0.5000, 0.5000)  2 W 1.94
Mo (0.1596, 0.0507, 0.0981)  3 N 2.07-2.30
W (0.3417, 0.4503, 0.5853)  3 N 1.94-2.15
S (0.7467, 0.5857, 0.7294)  1 W 2.39, 3 Mo 2.53-2.56
Mo (0.8404, 0.9493, 0.9019)  3 N 2.07-2.30
N (0.6899, 0.2274, 0.4964)  3 Mo 2.07-2.22, 2 W 2.09-2.15
W (0.4503, 0.3417, 0.0853)  3 N 1.94-2.15
Mo (0.9493, 0.8404, 0.4019)  3 N 2.07-2.30

=====

10.
A relaxed Mo2W4S3N3 crystal. Source: the Open Quantum Materials Database, functional PBE-GGA.

Values from the calculation:
* space-group type: C2/c (15)
* DFT total energy: -9.251 eV per atom

a b c (Å): 5.7935 5.7935 12.2666
angles (deg): 110.51 110.51 56.86
With the nearest neighbours (Å) after each atom.
Fractional positions:
Mo (0.2988, 0.8450, 0.3834)  3 N 2.18-2.23, 1 S 2.40
S (0.4424, 0.1855, 0.7420)  2 Mo 2.40-2.63, 4 W 2.42-2.62
N (0.6917, 0.7639, 0.5222)  3 W 2.12-2.16, 2 Mo 2.18-2.23
W (0.4252, 0.7371, 0.5957)  2 N 2.13-2.21
W (0.7371, 0.4252, 0.0957)  2 N 2.13-2.21
Mo (0.1550, 0.7012, 0.1166)  3 N 2.18-2.23, 1 S 2.40
Mo (0.8450, 0.2988, 0.8834)  3 N 2.18-2.23, 1 S 2.40
N (0.0000, 0.0000, 0.5000)  4 W 2.04-2.21, 2 Mo 2.23
W (0.3761, 0.9951, 0.0767)  3 N 2.04-2.16
S (0.5576, 0.8145, 0.2580)  2 Mo 2.40-2.63, 4 W 2.42-2.62
N (0.0000, 0.0000, 0.0000)  4 W 2.04-2.21, 2 Mo 2.23
S (0.1480, 0.8520, 0.7500)  2 Mo 2.56, 2 W 2.59
W (0.6239, 0.0049, 0.9233)  3 N 2.04-2.16
N (0.3083, 0.2361, 0.4778)  3 W 2.12-2.16, 2 Mo 2.18-2.23
W (0.0049, 0.6239, 0.4233)  3 N 2.04-2.16
N (0.7639, 0.6917, 0.0222)  3 W 2.12-2.16, 2 Mo 2.18-2.23
W (0.9951, 0.3761, 0.5767)  3 N 2.04-2.16
N (0.2361, 0.3083, 0.9778)  3 W 2.12-2.16, 2 Mo 2.18-2.23
W (0.5748, 0.2629, 0.4043)  2 N 2.13-2.21
S (0.8145, 0.5576, 0.7580)  2 Mo 2.40-2.63, 4 W 2.42-2.62
S (0.8520, 0.1480, 0.2500)  2 Mo 2.56, 2 W 2.59
W (0.2629, 0.5748, 0.9043)  2 N 2.13-2.21
Mo (0.7012, 0.1550, 0.6166)  3 N 2.18-2.23, 1 S 2.40
S (0.1855, 0.4424, 0.2420)  2 Mo 2.40-2.63, 4 W 2.42-2.62

=====

11.
A relaxed ZnMo4SN2 crystal. Source: the Open Quantum Materials Database, functional PBE-GGA.

Values from the calculation:
* space-group type: P-6m2 (187)
* DFT total energy: -8.234 eV per atom

a b c (Å): 2.9188 2.9188 13.6184
angles (deg): 90.00 90.00 120.00
With the nearest neighbours (Å) after each atom.
Fractional positions:
Mo (0.6667, 0.3333, 0.1352)  3 N 2.20
Mo (0.0000, 0.0000, 0.6629)  3 N 2.15
Zn (0.6667, 0.3333, 0.5000)  6 Mo 2.79, 6 Zn 2.92
Mo (0.6667, 0.3333, 0.8648)  3 N 2.20
N (0.3333, 0.6667, 0.7609)  6 Mo 2.15-2.20
S (0.0000, 0.0000, 0.0000)  6 Mo 2.50
N (0.3333, 0.6667, 0.2391)  6 Mo 2.15-2.20
Mo (0.0000, 0.0000, 0.3371)  3 N 2.15

=====

12.
A relaxed SbMo3N2 crystal. Source: the Open Quantum Materials Database, functional PBE-GGA.

Values from the calculation:
* space-group type: P6_3/mmc (194)
* DFT total energy: -8.810 eV per atom

a b c (Å): 3.2590 3.2590 17.3483
angles (deg): 90.00 90.00 120.00
With the nearest neighbours (Å) after each atom.
Fractional positions:
N (0.3333, 0.6667, 0.4317)  6 Mo 2.11-2.22
N (0.3333, 0.6667, 0.0683)  6 Mo 2.11-2.22
N (0.6667, 0.3333, 0.5683)  6 Mo 2.11-2.22
Mo (0.6667, 0.3333, 0.1228)  3 N 2.11
Mo (0.0000, 0.0000, 0.0000)  6 N 2.22
Mo (0.3333, 0.6667, 0.8772)  3 N 2.11
Mo (0.6667, 0.3333, 0.3772)  3 N 2.11
Mo (0.3333, 0.6667, 0.6228)  3 N 2.11
Mo (0.0000, 0.0000, 0.5000)  6 N 2.22
Sb (0.0000, 0.0000, 0.7500)  6 Mo 2.90
N (0.6667, 0.3333, 0.9317)  6 Mo 2.11-2.22
Sb (0.0000, 0.0000, 0.2500)  6 Mo 2.90